Record 1
A geometry-optimized KErSb2 structure. Source: Alexandria via LeMat-Bulk, functional GGA-PBE.

Geometry as POSCAR:
```
KErSb2
1.0
4.0783 0.0000 0.0000
0.0000 4.0783 0.0000
0.0000 0.0000 7.6382
K Er Sb
1 1 2
direct
0.0000 0.0000 0.0000
0.0000 0.0000 0.5000
0.5000 0.5000 0.3056
0.5000 0.5000 0.6944
```

Computed properties:
Relative energy among the computed polymorphs (meV per atom): 0
Symmetry: P4/mmm, No. 123
Energy relative to the elements, uncorrected (eV/atom): -0.6097

***

Record 2
A geometry-optimized KErSb2 structure. Source: Alexandria via LeMat-Bulk, functional GGA-PBE.

Geometry as POSCAR:
```
KErSb2
1.0
1.9918 1.1500 9.6007
-1.9918 1.1500 9.6007
0.0000 -2.2999 9.6007
K Er Sb
1 1 2
direct
0.0000 0.0000 0.0000
0.5000 0.5000 0.5000
0.2399 0.2399 0.2399
0.7601 0.7601 0.7601
```

Computed properties:
Relative energy among the computed polymorphs (meV per atom): 116
Symmetry: R-3m, No. 166
Energy relative to the elements, uncorrected (eV/atom): -0.4936

***

Record 3
A geometry-optimized K3ErSb2Se6 structure. Source: Alexandria via LeMat-Bulk, functional GGA-PBE.

Geometry as POSCAR:
```
K3ErSb2Se6
1.0
3.6647 -6.3470 0.0000
3.6647 6.3470 0.0000
-2.4407 0.0000 7.6790
K Er Sb Se
3 1 2 6
direct
0.0000 0.0000 0.0000
0.3306 0.6694 0.0000
0.6694 0.3306 0.0000
0.5000 0.5000 0.5000
0.1663 0.8337 0.5000
0.8337 0.1663 0.5000
0.1028 0.4319 0.2955
0.2393 0.2393 0.7053
0.4319 0.1028 0.2955
0.5681 0.8972 0.7045
0.7607 0.7607 0.2947
0.8972 0.5681 0.7045
```

Computed properties:
Symmetry: C2/m, No. 12
Energy relative to the elements, uncorrected (eV/atom): -1.0515

***

Looking at mass density for the records above, in order, we have 5880, 5662, 4657 kg/m3.